Li2Cr3CuO8 | Alexandria via LeMat-Bulk | PBE+U | optimized geometry; E = -6.568 eV per atom; M_tot = 5.0 μB/f.u.; energy above the most stable polymorph in this dataset = 11 meV per atom; SG = R3m (160); DOS(E_F) = 7.04 states/eV/cell
1.0
5.9020 -0.0084 -0.0059
2.9902 5.0885 -0.0059
2.9902 1.7083 4.7931
O Cr Li Cu
8 3 2 1
Direct
0.7420 0.7420 0.7420
0.7098 0.2489 0.2489
0.2489 0.7098 0.2489
0.7480 0.2884 0.7480
0.2884 0.7480 0.7480
0.2489 0.2489 0.7098
0.2600 0.2600 0.2600
0.7480 0.7480 0.2884
0.4984 0.0069 0.4984
0.4984 0.4984 0.0069
0.0069 0.4984 0.4984
0.1236 0.1236 0.1236
0.4998 0.4998 0.4998
0.8789 0.8789 0.8789